## w
! Na2GeAs | Alexandria via LeMat-Bulk | PBE | relaxed; values from VASP
&SYSTEM
  ibrav = 0, nat = 4, ntyp = 3
/
ATOMIC_SPECIES
Na 22.99 Na.upf
Ge 72.64 Ge.upf
As 74.92 As.upf
CELL_PARAMETERS angstrom
0.000 3.512 3.512
3.512 0.000 3.512
3.512 3.512 0.000
ATOMIC_POSITIONS angstrom
Na 1.756 1.756 1.756
Na 5.269 5.269 5.269
Ge 0.000 0.000 0.000
As 3.512 3.512 3.512
! SG: Fm-3m (225)

=====

## x
! Na2GeAs | Alexandria via LeMat-Bulk | PBE | relaxed; values from VASP
&SYSTEM
  ibrav = 0, nat = 8, ntyp = 3
/
ATOMIC_SPECIES
Na 22.99 Na.upf
Ge 72.64 Ge.upf
As 74.92 As.upf
CELL_PARAMETERS angstrom
-2.107 2.107 10.233
2.107 -2.107 10.233
2.107 2.107 -10.233
ATOMIC_POSITIONS angstrom
Na 3.160 1.034 -2.558
Na 1.034 1.053 2.558
Na -1.053 1.073 7.675
Na 1.073 1.053 12.791
Ge 2.107 0.000 5.117
Ge 0.000 0.000 10.233
As 0.000 0.000 0.000
As 0.000 2.107 5.117
! SG: I-42d (122)

=====

Which of them is most stable? Easy: w.

=====

## w
! Na3GeAs | Alexandria via LeMat-Bulk | PBE | relaxed; values from VASP
&SYSTEM
  ibrav = 0, nat = 10, ntyp = 3
/
ATOMIC_SPECIES
Na 22.99 Na.upf
Ge 72.64 Ge.upf
As 74.92 As.upf
CELL_PARAMETERS angstrom
-5.008 4.266 3.068
5.008 -4.266 3.068
5.008 4.266 -3.068
ATOMIC_POSITIONS angstrom
Na 0.165 2.116 0.000
Na 4.843 2.116 0.000
Na 2.504 4.001 1.521
Na 0.165 2.150 3.068
Na 4.843 2.150 3.068
Na 2.504 0.265 4.589
Ge 2.504 -1.622 1.539
Ge 2.504 5.888 -1.530
As 7.512 -0.806 1.529
As 2.504 0.806 1.529
! SG: Ima2 (46)

=====

## x
! Na3GeAs | Alexandria via LeMat-Bulk | PBE | relaxed; values from VASP
&SYSTEM
  ibrav = 0, nat = 5, ntyp = 3
/
ATOMIC_SPECIES
Na 22.99 Na.upf
Ge 72.64 Ge.upf
As 74.92 As.upf
CELL_PARAMETERS angstrom
5.512 0.000 0.000
0.000 5.512 0.000
0.000 0.000 5.512
ATOMIC_POSITIONS angstrom
Na 0.000 0.000 2.756
Na 0.000 2.756 0.000
Na 2.756 0.000 0.000
Ge 2.756 2.756 2.756
As 0.000 0.000 0.000
! SG: Pm-3m (221)

=====

Which of them is most stable? Easy: w.

=====

## w
! NaGeAs2Se | Alexandria via LeMat-Bulk | PBE | relaxed; values from VASP
&SYSTEM
  ibrav = 0, nat = 5, ntyp = 4
/
ATOMIC_SPECIES
Na 22.99 Na.upf
Ge 72.64 Ge.upf
As 74.92 As.upf
Se 78.96 Se.upf
CELL_PARAMETERS angstrom
4.977 0.000 0.000
0.000 4.977 0.000
0.000 0.000 5.168
ATOMIC_POSITIONS angstrom
Na 0.000 0.000 0.000
Ge 2.488 2.488 2.584
As 0.000 2.488 0.000
As 2.488 0.000 0.000
Se 0.000 0.000 2.584
! SG: P4/mmm (123)

=====

## x
! NaGeAs2Se | Alexandria via LeMat-Bulk | PBE | relaxed; values from VASP
&SYSTEM
  ibrav = 0, nat = 5, ntyp = 4
/
ATOMIC_SPECIES
Na 22.99 Na.upf
Ge 72.64 Ge.upf
As 74.92 As.upf
Se 78.96 Se.upf
CELL_PARAMETERS angstrom
5.018 0.000 0.000
0.000 5.018 0.000
0.000 0.000 5.238
ATOMIC_POSITIONS angstrom
Na 0.000 0.000 0.000
Ge 2.509 2.509 2.619
As 0.000 2.509 2.619
As 2.509 0.000 2.619
Se 2.509 2.509 0.000
! SG: P4/mmm (123)

=====

Which of them is most stable? Easy: x.

=====

## w
! NaGeAsSe2 | Alexandria via LeMat-Bulk | PBE | relaxed; values from VASP
&SYSTEM
  ibrav = 0, nat = 5, ntyp = 4
/
ATOMIC_SPECIES
Na 22.99 Na.upf
Ge 72.64 Ge.upf
As 74.92 As.upf
Se 78.96 Se.upf
CELL_PARAMETERS angstrom
5.184 0.000 0.000
0.000 5.184 0.000
0.000 0.000 4.943
ATOMIC_POSITIONS angstrom
Na 0.000 0.000 0.000
Ge 2.592 2.592 2.472
As 2.592 2.592 0.000
Se 0.000 2.592 2.472
Se 2.592 0.000 2.472
! SG: P4/mmm (123)

=====

## x
! NaGeAsSe2 | Alexandria via LeMat-Bulk | PBE | relaxed; values from VASP
&SYSTEM
  ibrav = 0, nat = 5, ntyp = 4
/
ATOMIC_SPECIES
Na 22.99 Na.upf
Ge 72.64 Ge.upf
As 74.92 As.upf
Se 78.96 Se.upf
CELL_PARAMETERS angstrom
5.153 0.000 0.000
0.000 5.153 0.000
0.000 0.000 4.896
ATOMIC_POSITIONS angstrom
Na 0.000 0.000 0.000
Ge 2.576 2.576 2.448
As 0.000 0.000 2.448
Se 0.000 2.576 0.000
Se 2.576 0.000 0.000
! SG: P4/mmm (123)

=====

Which of them is most stable? Easy: w.

=====

## w
! NbGeAs | Alexandria via LeMat-Bulk | PBE | relaxed; values from VASP
&SYSTEM
  ibrav = 0, nat = 6, ntyp = 3
/
ATOMIC_SPECIES
Nb 92.91 Nb.upf
Ge 72.64 Ge.upf
As 74.92 As.upf
CELL_PARAMETERS angstrom
2.427 -4.247 0.000
2.427 4.247 0.000
0.000 0.000 4.870
ATOMIC_POSITIONS angstrom
Nb 0.000 0.000 0.000
Nb 2.427 0.000 2.435
Ge 2.427 2.878 2.435
Ge 2.427 -2.878 2.435
As 2.427 1.370 0.000
As 2.427 -1.370 0.000
! SG: Cmmm (65)

=====

## x
! NbGeAs | Alexandria via LeMat-Bulk | PBE | relaxed; values from VASP
&SYSTEM
  ibrav = 0, nat = 6, ntyp = 3
/
ATOMIC_SPECIES
Nb 92.91 Nb.upf
Ge 72.64 Ge.upf
As 74.92 As.upf
CELL_PARAMETERS angstrom
-2.803 3.107 3.108
2.803 -3.107 3.108
2.803 3.107 -3.108
ATOMIC_POSITIONS angstrom
Nb 0.000 0.000 0.000
Nb 2.803 0.000 0.000
Ge 1.401 2.255 -0.878
Ge 1.401 0.851 2.230
As 1.401 -0.929 4.009
As 1.401 4.036 0.900
! SG: Ima2 (46)

=====

## y
! NbGeAs | Alexandria via LeMat-Bulk | PBE | relaxed; values from VASP
&SYSTEM
  ibrav = 0, nat = 6, ntyp = 3
/
ATOMIC_SPECIES
Nb 92.91 Nb.upf
Ge 72.64 Ge.upf
As 74.92 As.upf
CELL_PARAMETERS angstrom
2.499 -4.290 0.000
2.499 4.290 0.000
-2.353 0.000 4.701
ATOMIC_POSITIONS angstrom
Nb 0.734 3.230 3.525
Nb 1.911 -3.230 1.175
Ge 0.734 0.344 3.525
Ge 1.911 -0.344 1.175
As 1.911 2.459 1.175
As 0.734 -2.459 3.525
! SG: C2/c (15)

=====

Which of them is most stable? Easy: w.

=====

## w
! NbGeAs | Alexandria via LeMat-Bulk | PBE | relaxed; values from VASP
&SYSTEM
  ibrav = 0, nat = 6, ntyp = 3
/
ATOMIC_SPECIES
Nb 92.91 Nb.upf
Ge 72.64 Ge.upf
As 74.92 As.upf
CELL_PARAMETERS angstrom
0.000 4.688 4.263
2.525 0.000 4.263
2.525 4.688 0.000
ATOMIC_POSITIONS angstrom
Nb 0.000 0.000 0.000
Nb 1.263 2.344 2.132
Ge 2.525 4.688 5.664
Ge 3.788 7.033 7.795
As 2.525 4.688 2.879
As 3.788 7.033 5.010
! SG: Fdd2 (43)

=====

## x
! NbGeAs | Alexandria via LeMat-Bulk | PBE | relaxed; values from VASP
&SYSTEM
  ibrav = 0, nat = 3, ntyp = 3
/
ATOMIC_SPECIES
Nb 92.91 Nb.upf
Ge 72.64 Ge.upf
As 74.92 As.upf
CELL_PARAMETERS angstrom
-1.708 1.708 4.302
1.708 -1.708 4.302
1.708 1.708 -4.302
ATOMIC_POSITIONS angstrom
Nb 0.000 0.000 0.000
Ge 0.000 0.000 5.739
As 0.000 0.000 2.963
! SG: I4mm (107)

=====

Which of them is most stable? Easy: x.